Record 1
PuInPb2Br8 after structural relaxation, computed with PBE.

a b c (Å): 6.974 9.237 7.234
angles (deg): 90.00 90.79 90.00
Atoms (fractional coordinates):
Pu 0.000 0.000 0.000
In 0.000 0.500 0.000
Pb 0.500 0.253 0.500
Pb 0.500 0.747 0.500
Br 0.241 0.223 0.155
Br 0.241 0.777 0.155
Br 0.247 0.000 0.677
Br 0.270 0.500 0.641
Br 0.730 0.500 0.359
Br 0.753 0.000 0.323
Br 0.759 0.223 0.845
Br 0.759 0.777 0.845

Properties
E_tot: -4.2093 eV/atom
Symmetry: P2/m

***

Record 2
TlCdSeI after structural relaxation, computed with PBE.

a b c (Å): 8.964 8.964 8.964
angles (deg): 28.38 28.38 28.38
Atoms (fractional coordinates):
Tl 0.000 0.000 0.000
Cd 0.135 0.135 0.135
Se 0.765 0.765 0.765
I 0.248 0.248 0.248

Properties
E_tot: -2.6145 eV/atom
Symmetry: R3m

***

Record 3
NdNp4S5 after structural relaxation, computed with PBE.

a b c (Å): 6.820 6.820 6.820
angles (deg): 99.62 99.62 131.74
Atoms (fractional coordinates):
Nd 0.000 0.000 0.000
Np 0.201 0.603 0.804
Np 0.397 0.201 0.598
Np 0.603 0.799 0.402
Np 0.799 0.397 0.196
S 0.101 0.309 0.410
S 0.309 0.899 0.207
S 0.500 0.500 0.000
S 0.691 0.101 0.793
S 0.899 0.691 0.590

Properties
E_tot: -9.2105 eV/atom
Symmetry: I4/m